{"formula": "SiSbW4", "functional": "GGA-PBEsol", "state": "relaxed", "cell": [[-0.442, 5.183, -0.934], [-4.380, 1.915, -2.255], [-3.373, 2.918, 2.836]], "species": ["Sb", "Si", "W", "W", "W", "W"], "fractional_positions": [[0.750, 0.750, 0.750], [0.000, 0.000, 0.000], [0.375, 0.375, 0.375], [0.375, 0.375, 0.876], [0.876, 0.375, 0.375], [0.375, 0.876, 0.375]], "space_group": "F-43m", "e_form_raw_ev_per_atom": 0.76, "magmom_total_mub_per_cell": 0.0}